[1]
Computed, not measured: an optimized crystal structure of AcSc2Sn2 at the PBE-GGA level of DFT. Values from VASP.

Quantum ESPRESSO input file:
```
&SYSTEM
  ibrav = 0, nat = 5, ntyp = 3
/
ATOMIC_SPECIES
Ac 227.00 Ac.upf
Sc 44.96 Sc.upf
Sn 118.71 Sn.upf
CELL_PARAMETERS angstrom
-2.4539 -0.7975 3.9196
-1.6540 -3.9836 -1.8460
7.1445 -0.8912 1.4825
ATOMIC_POSITIONS crystal
Ac 0.0000 0.0000 0.0000
Sc 0.7500 0.2500 0.5001
Sc 0.2500 0.7500 0.4999
Sn 0.6130 0.6131 0.2260
Sn 0.3870 0.3869 0.7740
```

Summary:
- space group = I4/mmm
- DFT formation energy (eV/atom) = -0.64

***

[2]
Computed, not measured: an optimized crystal structure of CrWBr2 at the PBE-GGA level of DFT. Values from VASP.

Quantum ESPRESSO input file:
```
&SYSTEM
  ibrav = 0, nat = 4, ntyp = 3
/
ATOMIC_SPECIES
Br 79.90 Br.upf
Cr 52.00 Cr.upf
W 183.84 W.upf
CELL_PARAMETERS angstrom
4.6702 0.0000 0.0000
0.0000 4.6702 0.0000
0.0000 0.0000 3.3502
ATOMIC_POSITIONS crystal
Br 0.0000 0.0000 0.0000
Br 0.5000 0.5000 0.0000
Cr 0.5000 0.0000 0.5000
W 0.0000 0.5000 0.5000
```

Summary:
- space group = P4/mmm
- uncorrected formation energy (eV/atom) = 1.1084
- distance to the lowest polymorph of the same formula (kJ per mole of atoms) = 90.7

***

[3]
Computed, not measured: an optimized crystal structure of Ac3MgPb3 at the PBE-GGA level of DFT. Values from VASP.

Quantum ESPRESSO input file:
```
&SYSTEM
  ibrav = 0, nat = 14, ntyp = 3
/
ATOMIC_SPECIES
Ac 227.00 Ac.upf
Mg 24.30 Mg.upf
Pb 207.20 Pb.upf
CELL_PARAMETERS angstrom
6.8314 0.0000 0.0000
0.0000 9.9967 0.0000
0.0000 -4.9983 8.6574
ATOMIC_POSITIONS crystal
Ac 0.7500 0.6938 0.6403
Ac 0.7500 0.3597 0.0535
Ac 0.7500 0.9465 0.3062
Ac 0.2500 0.3062 0.3597
Ac 0.2500 0.6403 0.9465
Ac 0.2500 0.0535 0.6938
Mg 0.2500 0.6667 0.3333
Mg 0.7500 0.3333 0.6667
Pb 0.2500 0.6884 0.6382
Pb 0.2500 0.3618 0.0502
Pb 0.2500 0.9498 0.3116
Pb 0.7500 0.3116 0.3618
Pb 0.7500 0.6382 0.9498
Pb 0.7500 0.0502 0.6884
```

Summary:
- space group = P6_3/m
- DFT formation energy (eV/atom) = -0.30
- distance to the lowest polymorph of the same formula (kJ per mole of atoms) = 18.5

***

[4]
Computed, not measured: an optimized crystal structure of PrZn5 at the PBE-GGA level of DFT. Values from VASP.

Quantum ESPRESSO input file:
```
&SYSTEM
  ibrav = 0, nat = 6, ntyp = 2
/
ATOMIC_SPECIES
Pr 140.91 Pr.upf
Zn 65.41 Zn.upf
CELL_PARAMETERS angstrom
-0.7144 1.4867 5.1683
-3.7144 -3.0850 -2.4733
2.0426 -3.4907 1.2865
ATOMIC_POSITIONS crystal
Pr 0.0000 0.0000 0.0000
Zn 0.0000 0.5000 0.5000
Zn 0.3333 0.6667 0.0000
Zn 0.6667 0.3333 0.0000
Zn 0.5000 0.0000 0.5000
Zn 0.5000 0.5000 0.5000
```

Summary:
- space group = P6/mmm
- DFT formation energy (eV/atom) = -0.30

***

[5]
Computed, not measured: an optimized crystal structure of MnGePd at the PBE-GGA level of DFT. Values from VASP.

Quantum ESPRESSO input file:
```
&SYSTEM
  ibrav = 0, nat = 9, ntyp = 3
/
ATOMIC_SPECIES
Mn 54.94 Mn.upf
Ge 72.64 Ge.upf
Pd 106.42 Pd.upf
CELL_PARAMETERS angstrom
7.0179 0.0000 0.0000
-3.5089 6.0776 0.0000
0.0000 0.0000 3.1684
ATOMIC_POSITIONS crystal
Mn 0.0000 0.6180 0.5000
Mn 0.3820 0.3820 0.5000
Mn 0.6180 0.0000 0.5000
Ge 0.0000 0.0000 0.5000
Ge 0.6667 0.3333 0.0000
Ge 0.3333 0.6667 0.0000
Pd 0.0000 0.2876 0.0000
Pd 0.7124 0.7124 0.0000
Pd 0.2876 0.0000 0.0000
```

Summary:
- space group = P-62m
- DFT formation energy (eV/atom) = -0.29

***

[6]
Computed, not measured: an optimized crystal structure of Pr4TmSe6 at the PBE-GGA level of DFT. Values from VASP.

Quantum ESPRESSO input file:
```
&SYSTEM
  ibrav = 0, nat = 22, ntyp = 3
/
ATOMIC_SPECIES
Pr 140.91 Pr.upf
Tm 168.93 Tm.upf
Se 78.96 Se.upf
CELL_PARAMETERS angstrom
8.3596 -0.1042 0.0348
-0.0345 8.3601 0.0348
0.1050 0.1042 8.3590
ATOMIC_POSITIONS crystal
Pr 0.3658 0.1342 0.2500
Pr 0.8658 0.2500 0.3658
Pr 0.2500 0.6342 0.1342
Pr 0.2500 0.2500 0.7500
Pr 0.7500 0.7500 0.2500
Pr 0.7500 0.3658 0.8658
Pr 0.1342 0.7500 0.6342
Pr 0.6342 0.8658 0.7500
Tm 0.5000 0.5000 0.5000
Tm 0.0000 0.0000 0.0000
Se 0.6846 0.0606 0.0817
Se 0.0817 0.3154 0.0606
Se 0.5817 0.4394 0.1846
Se 0.9394 0.0817 0.6846
Se 0.5606 0.1846 0.5817
Se 0.1846 0.4183 0.4394
Se 0.8154 0.5817 0.5606
Se 0.4394 0.8154 0.4183
Se 0.0606 0.9183 0.3154
Se 0.4183 0.5606 0.8154
Se 0.9183 0.6846 0.9394
Se 0.3154 0.9394 0.9183
```

Summary:
- space group = R-3c
- uncorrected formation energy (eV/atom) = -1.7553

***

[7]
Computed, not measured: an optimized crystal structure of Pm8Zn2Ru at the PBE-GGA level of DFT. Values from VASP.

Quantum ESPRESSO input file:
```
&SYSTEM
  ibrav = 0, nat = 11, ntyp = 3
/
ATOMIC_SPECIES
Pm 145.00 Pm.upf
Zn 65.41 Zn.upf
Ru 101.07 Ru.upf
CELL_PARAMETERS angstrom
-4.6362 -1.3281 -1.2001
2.6143 -1.8973 -8.0002
2.4104 -5.1309 6.6567
ATOMIC_POSITIONS crystal
Pm 0.6569 0.8827 0.3138
Pm 0.3431 0.5689 0.6862
Pm 0.1207 0.1207 0.2414
Pm 0.0000 0.3354 0.0000
Pm 0.8793 0.8793 0.7586
Pm 0.6569 0.4311 0.3138
Pm 0.3431 0.1173 0.6862
Pm 0.0000 0.6646 0.0000
Zn 0.1976 0.6976 0.3951
Zn 0.8024 0.3024 0.6049
Ru 0.5000 0.0000 0.0000
```

Summary:
- space group = Immm
- DFT formation energy (eV/atom) = -0.04
- distance to the lowest polymorph of the same formula (kJ per mole of atoms) = 10.2

***

[8]
Computed, not measured: an optimized crystal structure of TcHgMo2 at the PBE-GGA level of DFT. Values from VASP.

Quantum ESPRESSO input file:
```
&SYSTEM
  ibrav = 0, nat = 4, ntyp = 3
/
ATOMIC_SPECIES
Hg 200.59 Hg.upf
Mo 95.94 Mo.upf
Tc 98.00 Tc.upf
CELL_PARAMETERS angstrom
-3.5767 1.3034 1.1490
0.2168 -1.5688 2.4545
2.7051 2.9247 5.1028
ATOMIC_POSITIONS crystal
Hg 0.5000 0.7500 0.7500
Mo 0.0000 0.9641 0.0376
Mo 0.0000 0.5359 0.4624
Tc 0.5000 0.2500 0.2500
```

Summary:
- space group = P2/m
- DFT formation energy (eV/atom) = 0.33

***

[9]
Computed, not measured: an optimized crystal structure of Hg2Ru at the PBE-GGA level of DFT. Values from VASP.

Quantum ESPRESSO input file:
```
&SYSTEM
  ibrav = 0, nat = 6, ntyp = 2
/
ATOMIC_SPECIES
Hg 200.59 Hg.upf
Ru 101.07 Ru.upf
CELL_PARAMETERS angstrom
-6.2531 -3.9314 -0.8912
-5.7447 -4.2993 1.9663
-5.2138 3.1400 1.3318
ATOMIC_POSITIONS crystal
Hg 0.1754 0.1754 0.8119
Hg 0.8246 0.8246 0.1881
Hg 0.1236 0.1236 0.3551
Hg 0.8764 0.8764 0.6449
Ru 0.5069 0.5069 0.8057
Ru 0.4931 0.4931 0.1943
```

Summary:
- space group = C2/m
- DFT formation energy (eV/atom) = 0.48

***

[10]
Computed, not measured: an optimized crystal structure of Eu2LuZn at the PBE-GGA level of DFT. Values from VASP.

Quantum ESPRESSO input file:
```
&SYSTEM
  ibrav = 0, nat = 4, ntyp = 3
/
ATOMIC_SPECIES
Eu 151.96 Eu.upf
Zn 65.41 Zn.upf
Lu 174.97 Lu.upf
CELL_PARAMETERS angstrom
4.8190 0.0000 0.0000
0.0000 4.9483 0.0000
0.0000 0.0000 4.9483
ATOMIC_POSITIONS crystal
Eu 0.0000 0.0000 0.5000
Eu 0.0000 0.5000 0.0000
Zn 0.5000 0.0000 0.0000
Lu 0.5000 0.5000 0.5000
```

Summary:
- space group = P4/mmm
- DFT formation energy (eV/atom) = 0.07
- distance to the lowest polymorph of the same formula (kJ per mole of atoms) = 10.7

***

[11]
Computed, not measured: an optimized crystal structure of Sr3Re at the PBE-GGA level of DFT. Values from VASP.

Quantum ESPRESSO input file:
```
&SYSTEM
  ibrav = 0, nat = 8, ntyp = 2
/
ATOMIC_SPECIES
Sr 87.62 Sr.upf
Re 186.21 Re.upf
CELL_PARAMETERS angstrom
-5.0104 -1.1803 -0.9847
1.9884 -3.6452 -5.7481
0.6353 -6.1159 4.0982
ATOMIC_POSITIONS crystal
Sr 0.5000 0.0000 0.4284
Sr 0.0000 0.5000 0.5716
Sr 0.0000 0.7435 0.1458
Sr 0.0000 0.2565 0.1458
Sr 0.5000 0.2435 0.8542
Sr 0.5000 0.7565 0.8542
Re 0.0000 0.0000 0.7431
Re 0.5000 0.5000 0.2569
```

Summary:
- space group = Pmmn
- DFT formation energy (eV/atom) = 0.90
- distance to the lowest polymorph of the same formula (kJ per mole of atoms) = 14.9

***

[12]
Computed, not measured: an optimized crystal structure of MnCoTeRu at the PBE-GGA level of DFT. Values from VASP.

Quantum ESPRESSO input file:
```
&SYSTEM
  ibrav = 0, nat = 4, ntyp = 4
/
ATOMIC_SPECIES
Ru 101.07 Ru.upf
Te 127.60 Te.upf
Co 58.93 Co.upf
Mn 54.94 Mn.upf
CELL_PARAMETERS angstrom
4.3888 0.0000 0.0000
2.1944 3.8008 0.0000
2.1944 1.2669 3.5835
ATOMIC_POSITIONS crystal
Ru 0.2500 0.2500 0.2500
Te 0.0000 0.0000 0.0000
Co 0.7500 0.7500 0.7500
Mn 0.5000 0.5000 0.5000
```

Summary:
- space group = F-43m
- uncorrected formation energy (eV/atom) = 0.1469

***

Calculated N(E_F) in order - 4.400 2.635 6.279 2.013 0.842 5.072 9.828 2.699 2.654 4.318 4.423 1.417 states/eV/f.u.